Dy4Y3Bi8: optimized geometry, GGA-PBE.

a = 8.920 Å, b = 8.920 Å, c = 8.920 Å
α = 90.00°, β = 120.00°, γ = 120.00°
Atoms (fractional coordinates):
Bi 0.000 0.746 0.254
Bi 0.509 0.254 0.254
Bi 0.500 0.250 0.750
Bi 0.000 0.746 0.746
Bi 0.500 0.750 0.250
Bi 0.000 0.254 0.254
Bi 0.000 0.254 0.746
Bi 0.491 0.746 0.746
Dy 0.500 0.000 0.000
Dy 0.000 0.000 0.500
Dy 0.000 0.500 0.000
Dy 0.000 0.000 0.000
Y 0.500 0.500 0.000
Y 0.500 0.500 0.500
Y 0.500 0.000 0.500

Properties
The calculation puts the formation energy at -0.692 eV per atom. Its space-group type is C2/m.


Li2HoMg2Tl2: optimized geometry, GGA-PBE.

a = 4.817 Å, b = 4.817 Å, c = 8.421 Å
α = 73.38°, β = 73.38°, γ = 60.00°
Atoms (fractional coordinates):
Tl 0.736 0.736 0.793
Tl 0.264 0.264 0.207
Li 0.420 0.420 0.740
Li 0.580 0.580 0.260
Ho 0.000 0.000 0.000
Mg 0.136 0.136 0.592
Mg 0.864 0.864 0.408

Properties
The calculation puts the formation energy at -0.210 eV per atom. Its space-group type is R-3m.


PrTm4In: optimized geometry, GGA-PBE.

a = 8.658 Å, b = 8.658 Å, c = 8.658 Å
α = 98.90°, β = 98.90°, γ = 133.67°
Atoms (fractional coordinates):
Tm 0.221 0.964 0.744
Tm 0.730 0.972 0.758
Tm 0.227 0.471 0.756
Tm 0.722 0.980 0.258
Tm 0.221 0.477 0.256
Tm 0.722 0.463 0.742
Tm 0.213 0.972 0.242
Tm 0.714 0.471 0.244
In 0.054 0.554 0.500
In 0.304 0.304 0.000
Pr 0.811 0.811 0.000
Pr 0.561 0.061 0.500

Properties
The calculation puts the formation energy at 0.502 eV per atom. As for the energy above the lowest structure with this stoichiometry: 3.87 eV/f.u. Its space-group type is I4_1md.


Y2ScPb: optimized geometry, GGA-PBE.

a = 8.649 Å, b = 8.649 Å, c = 6.902 Å
α = 51.20°, β = 51.20°, γ = 90.00°
Last column: magnetic moment on the atom in μB.
Atoms (fractional coordinates):
Y 0.875 0.892 0.750  0.14
Y 0.108 0.625 0.250  0.18
Y 0.642 0.125 0.250  0.19
Y 0.375 0.358 0.750  0.15
Pb 0.000 0.000 0.000  0.00
Pb 0.750 0.250 0.500  0.00
Sc 0.500 0.500 0.000  0.25
Sc 0.250 0.750 0.500  0.25

Properties
The calculation puts the formation energy at 0.110 eV per atom. Its space-group type is I-42d.